Compound: BiAs2HBr
Source: the Alexandria database
Functional: GGA-PBE
Structure: relaxed

Calculated values
- Polymorph energy (0 for the lowest one): 573 meV/atom
- VASP energy: -2.596 eV per atom

Geometry as POSCAR:
```
BiAs2HBr
1.0
5.647 0.000 0.000
0.000 5.647 0.000
0.000 0.000 5.923
Bi As H Br
1 2 1 1
Cartesian
0.000 0.000 0.000
0.000 2.823 0.000
2.823 0.000 0.000
2.823 2.823 2.961
0.000 0.000 2.961
```

***

Compound: Y2MnAu
Source: the Alexandria database
Functional: GGA-PBE
Structure: relaxed

Calculated values
- Polymorph energy (0 for the lowest one): 291 meV/atom
- DFT formation energy: -0.037 eV/atom
- VASP energy: -6.381 eV per atom

Geometry as POSCAR:
```
Y2MnAu
1.0
1.835 1.059 8.587
-1.835 1.059 8.587
0.000 -2.119 8.587
Y Mn Au
2 1 1
Cartesian
0.000 0.000 6.421
0.000 0.000 19.341
0.000 0.000 0.000
0.000 0.000 12.881
```

***

Compound: LuZrTcOs
Source: the Alexandria database
Functional: GGA-PBE
Structure: relaxed

Calculated values
- DFT formation energy: -0.262 eV/atom
- VASP energy: -8.928 eV per atom

Geometry as POSCAR:
```
LuZrTcOs
1.0
0.000 3.318 3.318
3.318 0.000 3.318
3.318 3.318 0.000
Lu Zr Tc Os
1 1 1 1
Cartesian
0.000 0.000 0.000
3.318 3.318 3.318
4.977 4.977 4.977
1.659 1.659 1.659
```

***

no.,spin magnetization (μB/f.u.),calculated volume (Å³ per atom)
1,3.59,37.77
2,3.10,25.04
3,0.00,18.27